## Y2TiBe2 (PBE)

Data for a relaxed Y2TiBe2 crystal.

```
Y2TiBe2
1.0
-6.5669 -1.0361 1.2102
0.1112 -5.4186 -4.0359
1.0270 -2.5216 3.4137
Be Ti Y
4 2 4
Direct
0.1167 0.3833 0.0000
0.6167 0.1167 0.0000
0.3833 0.8833 0.0000
0.8833 0.6167 0.0000
0.5000 0.5000 0.0000
0.0000 0.0000 0.0000
0.8205 0.3205 0.5000
0.1795 0.6795 0.5000
0.6795 0.8205 0.5000
0.3205 0.1795 0.5000
```

Output
VASP energy: -5.4763 eV per atom
DOS(E_F): 1.03 states/eV per atom
E_form: 0.179 eV per atom
Theoretical density: 4.06 g/cm³
M_tot: 0.028 μB per atom

## LaErTm2S4 (PBE)

Data for a relaxed LaErTm2S4 crystal.

```
LaErTm2S4
1.0
-0.0328 -3.8265 0.6184
0.1518 -1.0949 -6.7668
6.5025 -0.3824 -2.0210
Er S La Tm
1 4 1 2
Direct
0.0000 0.5000 0.5000
0.0000 0.2319 0.2664
0.5000 0.7600 0.2565
0.0000 0.7681 0.7336
0.5000 0.2400 0.7435
0.5000 0.5000 0.0000
0.0000 0.0000 0.0000
0.5000 0.0000 0.5000
```

Output
VASP energy: -6.3487 eV per atom
DOS(E_F): 0.60 states/eV per atom
Theoretical density: 7.47 g/cm³
M_tot: 0.000 μB per atom
Raw formation energy: -1981 meV/atom

## ZnGaMoIr (PBE)

Data for a relaxed ZnGaMoIr crystal.

```
ZnGaMoIr
1.0
3.7729 0.0000 0.0000
0.0000 4.1528 0.0000
0.0000 0.0000 3.8750
Zn Ir Ga Mo
1 1 1 1
Direct
0.0000 0.0000 0.4085
0.5000 0.0000 0.8865
0.0000 0.5000 0.9811
0.5000 0.5000 0.4942
```

Output
VASP energy: -5.9961 eV per atom
DOS(E_F): 0.86 states/eV per atom
E_form: 0.002 eV per atom
Theoretical density: 11.58 g/cm³
M_tot: 0.000 μB per atom
E above lowest polymorph: 0.507 eV per formula unit

## SrAlTe2Au (PBE)

Data for a relaxed SrAlTe2Au crystal.

```
SrAlTe2Au
1.0
-3.9998 0.6410 -4.1888
2.9319 -2.0245 -3.1094
-2.2147 -5.2270 1.3149
Te Al Sr Au
2 1 1 1
Direct
0.5000 0.0000 0.0000
0.0000 0.0000 0.5000
0.0000 0.5000 0.0000
0.5000 0.5000 0.5000
0.0000 0.0000 0.0000
```

Output
VASP energy: -3.4277 eV per atom
DOS(E_F): 0.24 states/eV per atom
Theoretical density: 5.86 g/cm³
M_tot: 0.000 μB per atom
Raw formation energy: -431 meV/atom

## MgSb5 (PBE)

Data for a relaxed MgSb5 crystal.

```
MgSb5
1.0
-5.1867 -1.0872 -4.3729
-4.5271 -3.9946 -3.2793
-7.5038 -0.1109 4.2309
Sb Mg
5 1
Direct
0.5555 0.5555 0.3890
0.4088 0.4088 0.1791
0.8864 0.8864 0.7165
0.7024 0.7024 0.5985
0.2246 0.2246 0.0615
0.0556 0.0556 0.8887
```

Output
VASP energy: -3.6524 eV per atom
DOS(E_F): 0.49 states/eV per atom
Theoretical density: 6.15 g/cm³
M_tot: 0.000 μB per atom
E above lowest polymorph: 0.000 eV per formula unit
Raw formation energy: 49 meV/atom

## ZrTiP2Cl (PBE)

Data for a relaxed ZrTiP2Cl crystal.

```
ZrTiP2Cl
1.0
5.0362 0.0000 0.0000
0.0000 5.0362 0.0000
0.0000 0.0000 4.8284
Ti Cl Zr P
1 1 1 2
Direct
0.5000 0.5000 0.5000
0.0000 0.0000 0.5000
0.0000 0.0000 0.0000
0.0000 0.5000 0.0000
0.5000 0.0000 0.0000
```

Output
VASP energy: -5.6710 eV per atom
DOS(E_F): 1.66 states/eV per atom
Theoretical density: 3.21 g/cm³
M_tot: 0.010 μB per atom
E above lowest polymorph: 1.673 eV per formula unit
Raw formation energy: 151 meV/atom